PrSm4Ru PBE relaxed; space-group type = C2/m; crystal system = monoclinic; DOS at the Fermi energy = 1.405 states/eV/atom; formation enthalpy at 0 K = -0.07 eV/atom; theoretical density = 7.4 Mg/m³; calculated total energy = -5.557 eV per atom
1.0
8.7324 -3.7908 0.0000
8.7324 3.7908 0.0000
-2.1409 0.0000 5.7279
Pr Sm Ru
2 8 2
Cartesian
3.0657 0.0000 1.1457
12.2582 0.0000 4.5822
5.9402 1.8522 2.2207
8.7324 2.2137 0.0000
3.9968 0.0000 4.7593
9.3837 1.8522 3.5072
5.9402 -1.8522 2.2207
11.3271 0.0000 0.9686
8.7324 -2.2137 0.0000
9.3837 -1.8522 3.5072
8.1845 0.0000 1.4812
7.1395 0.0000 4.2467

---

MnAg2Os PBE relaxed; space-group type = I4/mmm; crystal system = tetragonal; DOS at the Fermi energy = 1.587 states/eV/atom; energy above the most stable polymorph in this dataset = 1.32 eV/f.u.; formation enthalpy at 0 K = 0.66 eV/atom; theoretical density = 12.1 Mg/m³; calculated total energy = -5.867 eV per atom
1.0
-1.9230 1.9230 4.2749
1.9230 -1.9230 4.2749
1.9230 1.9230 -4.2749
Mn Ag Os
1 2 1
Cartesian
0.0000 0.0000 0.0000
1.9230 0.0000 2.1374
0.0000 1.9230 2.1374
0.0000 0.0000 4.2749

---

SrSmCl6 PBE relaxed; space-group type = Fm-3m; crystal system = cubic; DOS at the Fermi energy = 1.585 states/eV/atom; raw formation energy = -1.89 eV per atom; theoretical density = 2.1 Mg/m³; calculated total energy = -4.074 eV per atom
1.0
0.0000 5.6010 5.6010
5.6010 0.0000 5.6010
5.6010 5.6010 0.0000
Sr Sm Cl
1 1 6
Cartesian
0.0000 0.0000 0.0000
5.6010 5.6010 5.6010
5.6010 5.6010 2.9010
5.6010 2.9010 5.6010
8.3011 5.6010 5.6010
2.9010 5.6010 5.6010
5.6010 8.3011 5.6010
5.6010 5.6010 8.3011

---

Pr5Y2Er12 PBE relaxed; space-group type = C2/m; crystal system = monoclinic; DOS at the Fermi energy = 1.395 states/eV/atom; energy above the most stable polymorph in this dataset = 2.24 eV/f.u.; formation enthalpy at 0 K = 0.18 eV/atom; theoretical density = 7.6 Mg/m³; calculated total energy = -4.638 eV per atom
1.0
9.1743 -3.5223 0.0000
9.1743 3.5223 0.0000
-3.7468 0.0000 9.7091
Pr Y Er
5 2 12
Cartesian
0.0000 0.0000 0.0000
0.8914 0.0000 6.6202
4.7469 0.0000 2.8017
9.8548 0.0000 6.9074
13.7103 0.0000 3.0889
7.3008 1.6123 4.8545
7.3008 -1.6123 4.8545
-2.3434 0.0000 7.2544
3.9115 1.7804 6.1337
2.5190 1.7395 9.5114
10.6902 1.7804 3.5754
12.0827 1.7395 0.1977
6.0327 0.0000 8.0160
8.5690 0.0000 1.6931
2.5190 -1.7395 9.5114
3.9115 -1.7804 6.1337
12.0827 -1.7395 0.1977
10.6902 -1.7804 3.5754
16.9451 0.0000 2.4547

---

SrPbSe2 PBE relaxed; space-group type = P4/mmm; crystal system = tetragonal; DOS at the Fermi energy = 0.000 states/eV/atom; raw formation energy = -1.33 eV per atom; theoretical density = 6.2 Mg/m³; calculated total energy = -4.418 eV per atom
1.0
4.4233 0.0000 0.0000
0.0000 4.4233 0.0000
0.0000 0.0000 6.2449
Sr Pb Se
1 1 2
Cartesian
0.0000 0.0000 0.0000
2.2117 2.2117 3.1225
0.0000 0.0000 3.1225
2.2117 2.2117 0.0000

---

KScBr PBE relaxed; space-group type = F-43m; crystal system = cubic; DOS at the Fermi energy = 2.888 states/eV/atom; energy above the most stable polymorph in this dataset = 2.72 eV/f.u.; raw formation energy = 0.38 eV per atom; theoretical density = 2.0 Mg/m³; calculated total energy = -2.653 eV per atom
1.0
0.0000 4.0718 4.0718
4.0718 0.0000 4.0718
4.0718 4.0718 0.0000
K Sc Br
1 1 1
Cartesian
0.0000 0.0000 0.0000
2.0359 2.0359 2.0359
6.1077 6.1077 6.1077

---

Pr2HoMgO PBE relaxed; space-group type = P4/mmm; crystal system = tetragonal; DOS at the Fermi energy = 0.722 states/eV/atom; raw formation energy = -1.18 eV per atom; theoretical density = 6.5 Mg/m³; calculated total energy = -5.323 eV per atom
1.0
5.1578 0.0000 0.0000
0.0000 5.1578 0.0000
0.0000 0.0000 4.6491
Pr Ho Mg O
2 1 1 1
Cartesian
0.0000 2.5789 0.0000
2.5789 0.0000 0.0000
0.0000 0.0000 2.3246
2.5789 2.5789 2.3246
0.0000 0.0000 0.0000

---

Mn2CdCl PBE relaxed; space-group type = C2/m; crystal system = monoclinic; DOS at the Fermi energy = 0.729 states/eV/atom; energy above the most stable polymorph in this dataset = 0.44 eV/f.u.; raw formation energy = 0.12 eV per atom; theoretical density = 4.7 Mg/m³; calculated total energy = -5.160 eV per atom
1.0
4.7978 -1.5329 0.0000
4.7978 1.5329 0.0000
-4.6082 0.0000 6.2240
Mn Cd Cl
2 1 1
Cartesian
-0.1278 0.0000 2.0340
5.1152 0.0000 4.1901
2.4937 0.0000 3.1120
4.7978 0.0000 0.0000

---

Ba2Cd12InAg3 PBE relaxed; space-group type = R-3m; crystal system = trigonal; DOS at the Fermi energy = 0.480 states/eV/atom; formation enthalpy at 0 K = -0.04 eV/atom; theoretical density = 6.9 Mg/m³; calculated total energy = -1.486 eV per atom
1.0
3.4527 1.9934 12.0291
-3.4527 1.9934 12.0291
0.0000 -3.9868 12.0291
Ba Cd In Ag
2 12 1 3
Cartesian
0.0000 0.0000 5.0659
0.0000 0.0000 31.0213
0.0000 -2.3100 10.2872
-2.0005 1.1550 10.2872
-1.7319 -0.9999 15.7448
-2.0005 -1.1550 25.8000
0.0000 -1.9998 20.3424
-1.7319 0.9999 20.3424
1.7319 -0.9999 15.7448
0.0000 1.9998 15.7448
2.0005 1.1550 10.2872
1.7319 0.9999 20.3425
2.0005 -1.1550 25.8000
0.0000 2.3100 25.8000
0.0000 0.0000 18.0436
-1.7263 -0.9967 12.0291
-1.7263 0.9967 24.0581
0.0000 1.9934 12.0291

---

Sr2LuH PBE relaxed; space-group type = R-3m; crystal system = trigonal; DOS at the Fermi energy = 1.033 states/eV/atom; theoretical density = 4.7 Mg/m³; calculated total energy = -2.599 eV per atom
1.0
1.8682 1.0786 10.3000
-1.8682 1.0786 10.3000
0.0000 -2.1572 10.3000
Sr Lu H
2 1 1
Cartesian
0.0000 0.0000 3.5322
0.0000 0.0000 27.3677
0.0000 0.0000 0.0000
0.0000 0.0000 15.4499

---

LaDyY2 PBE relaxed; space-group type = R3m; crystal system = trigonal; DOS at the Fermi energy = 1.682 states/eV/atom; energy above the most stable polymorph in this dataset = 0.00 eV/f.u.; formation enthalpy at 0 K = 0.01 eV/atom; theoretical density = 6.0 Mg/m³; calculated total energy = -5.607 eV per atom
1.0
1.8167 1.0489 11.6288
-1.8167 1.0489 11.6288
0.0000 -2.0977 11.6288
La Dy Y
1 1 2
Cartesian
0.0000 0.0000 0.0000
0.0000 0.0000 29.1000
0.0000 0.0000 14.6182
0.0000 0.0000 20.2932

---

CsCr3Fe PBE relaxed; space-group type = Pm-3m; crystal system = cubic; DOS at the Fermi energy = 3.481 states/eV/atom; energy above the most stable polymorph in this dataset = 10.72 eV/f.u.; formation enthalpy at 0 K = 3.48 eV/atom; theoretical density = 5.9 Mg/m³; calculated total energy = -4.155 eV per atom
1.0
4.5878 0.0000 0.0000
0.0000 4.5878 0.0000
0.0000 0.0000 4.5878
Cs Cr Fe
1 3 1
Cartesian
0.0000 0.0000 0.0000
0.0000 0.0000 2.2939
0.0000 2.2939 0.0000
2.2939 0.0000 0.0000
2.2939 2.2939 2.2939

---

KGaGe PBE relaxed; space-group type = Imma; crystal system = orthorhombic; DOS at the Fermi energy = 0.144 states/eV/atom; formation enthalpy at 0 K = -0.16 eV/atom; theoretical density = 3.4 Mg/m³; calculated total energy = -3.076 eV per atom
1.0
-2.1497 5.4997 3.7239
2.1497 -5.4997 3.7239
2.1497 5.4997 -3.7239
K Ga Ge
2 2 2
Cartesian
0.0000 0.0000 0.0000
0.0000 5.4997 0.0000
2.1497 2.7499 1.2772
0.0000 2.7499 2.4467
2.1497 2.7499 -1.1944
0.0000 2.7499 4.9182

---

HfTcAgS2 PBE relaxed; space-group type = P4/mmm; crystal system = tetragonal; DOS at the Fermi energy = 0.373 states/eV/atom; raw formation energy = 0.55 eV per atom; theoretical density = 5.9 Mg/m³; calculated total energy = -5.736 eV per atom
1.0
4.8295 0.0000 0.0000
0.0000 4.8295 0.0000
0.0000 0.0000 5.3677
Hf Tc Ag S
1 1 1 2
Cartesian
0.0000 0.0000 0.0000
2.4148 2.4148 2.6839
0.0000 0.0000 2.6839
0.0000 2.4148 0.0000
2.4148 0.0000 0.0000

---

Mo2IrBr PBE relaxed; space-group type = P4mm; crystal system = tetragonal; DOS at the Fermi energy = 0.801 states/eV/atom; energy above the most stable polymorph in this dataset = 0.12 eV/f.u.; raw formation energy = 0.42 eV per atom; theoretical density = 11.1 Mg/m³; calculated total energy = -7.633 eV per atom
1.0
2.9163 0.0000 0.0000
0.0000 2.9163 0.0000
0.0000 0.0000 8.1613
Mo Ir Br
2 1 1
Cartesian
0.0000 0.0000 0.0000
1.4582 1.4582 2.0895
1.4582 1.4582 6.5167
0.0000 0.0000 3.8308

---

La2Ti2Si PBE relaxed; space-group type = P4/mbm; crystal system = tetragonal; DOS at the Fermi energy = 1.252 states/eV/atom; raw formation energy = -0.08 eV per atom; theoretical density = 5.8 Mg/m³; calculated total energy = -6.289 eV per atom
1.0
6.9632 0.0000 0.0000
0.0000 6.9632 0.0000
0.0000 0.0000 4.7415
La Ti Si
4 4 2
Cartesian
1.2330 2.2485 0.0000
2.2485 5.7301 0.0000
4.7146 1.2330 0.0000
5.7301 4.7146 0.0000
0.9906 4.4722 2.3707
2.4910 0.9906 2.3707
4.4722 5.9726 2.3707
5.9726 2.4910 2.3707
0.0000 0.0000 2.3707
3.4816 3.4816 2.3707

---

PrSmSi2Pd2 PBE relaxed; space-group type = P-3m1; crystal system = trigonal; DOS at the Fermi energy = 0.864 states/eV/atom; raw formation energy = -0.90 eV per atom; theoretical density = 7.2 Mg/m³; calculated total energy = -6.020 eV per atom
1.0
4.2193 0.0000 0.0000
-2.1096 3.6540 0.0000
0.0000 0.0000 8.3752
Pr Sm Si Pd
1 1 2 2
Cartesian
0.0000 0.0000 0.0000
0.0000 0.0000 4.1876
0.0000 2.4360 2.1141
2.1096 1.2180 6.2612
0.0000 2.4360 6.2065
2.1096 1.2180 2.1688